1.
The following is a PBE calculation of an optimized crystal structure of Ac5Ag2PtO, from the Alexandria database.

extended XYZ file:
```
18
Lattice="2.154 -9.742 0.000 2.154 9.742 0.000 0.000 0.000 14.182" Properties=species:S:1:pos:R:3 pbc="T T T"
Ac 2.154 9.709 7.091
Ac 2.154 6.951 3.549
Ac 2.154 6.048 8.690
Ac 2.154 5.795 12.899
Ac 2.154 0.840 3.309
Ac 2.154 -0.840 10.400
Ac 2.154 -5.795 5.809
Ac 2.154 -6.048 1.599
Ac 2.154 -6.951 10.640
Ac 2.154 -9.709 0.000
Ag 2.154 2.390 13.236
Ag 2.154 2.365 8.089
Ag 2.154 -2.365 0.998
Ag 2.154 -2.390 6.145
Pt 2.154 3.947 3.706
Pt 2.154 -3.947 10.796
O 2.154 8.579 9.259
O 2.154 -8.579 2.168
```

Computed properties:
* formation energy from raw total energies: -969 meV per atom
* final energy: -5.108 eV/atom
* space group: Cmc2_1, No. 36
* crystal system: orthorhombic
* calculated volume: 33.07 Å³/atom

***

2.
The following is a PBE calculation of an optimized crystal structure of IrOsCl2, from the Alexandria database.

extended XYZ file:
```
4
Lattice="-2.028 2.028 3.815 2.028 -2.028 3.815 2.028 2.028 -3.815" Properties=species:S:1:pos:R:3 pbc="T T T"
Ir 0.000 0.000 0.000
Os 0.000 0.000 3.815
Cl 2.028 0.000 1.908
Cl 0.000 2.028 1.908
```

Computed properties:
* formation energy from raw total energies: 1593 meV per atom
* ΔE to the lowest computed polymorph: 1464 meV per atom
* final energy: -4.353 eV/atom
* space group: I4/mmm, No. 139
* crystal system: tetragonal
* calculated volume: 15.69 Å³/atom

***

3.
The following is a PBE calculation of an optimized crystal structure of AlZnOsS2, from the Alexandria database.

extended XYZ file:
```
5
Lattice="4.474 0.000 0.000 0.000 4.474 0.000 0.000 0.000 4.891" Properties=species:S:1:pos:R:3 pbc="T T T"
Al 0.000 0.000 0.000
Zn 2.237 2.237 2.446
Os 2.237 2.237 0.000
S 0.000 2.237 2.446
S 2.237 0.000 2.446
```

Computed properties:
* formation energy from raw total energies: 1271 meV per atom
* final energy: -3.630 eV/atom
* space group: P4/mmm, No. 123
* crystal system: tetragonal
* calculated volume: 19.58 Å³/atom

***

4.
The following is a PBE calculation of an optimized crystal structure of CeAlZnCu3, from the Alexandria database.

extended XYZ file:
```
12
Lattice="3.064 -6.004 0.000 3.064 6.004 0.000 0.000 0.000 5.762" Properties=species:S:1:pos:R:3 pbc="T T T"
Ce 3.064 3.533 4.321
Ce 3.064 -3.533 1.440
Al 3.064 0.607 4.321
Al 3.064 -0.607 1.440
Zn 3.064 4.327 1.440
Zn 3.064 -4.327 4.321
Cu 1.230 0.000 0.000
Cu 1.230 0.000 2.881
Cu 3.064 1.815 1.440
Cu 3.064 -1.815 4.321
Cu 4.899 0.000 0.000
Cu 4.899 0.000 2.881
```

Computed properties:
* DFT formation energy: -0.01 eV per atom
* final energy: -3.883 eV/atom
* space group: Cmcm, No. 63
* crystal system: orthorhombic
* calculated volume: 17.67 Å³/atom

***

5.
The following is a PBE calculation of an optimized crystal structure of AlMoAs3, from the Alexandria database.

extended XYZ file:
```
5
Lattice="4.907 0.000 0.000 0.000 4.907 0.000 0.000 0.000 4.907" Properties=species:S:1:pos:R:3 pbc="T T T"
Al 0.000 0.000 0.000
Mo 2.454 2.454 2.454
As 0.000 2.454 2.454
As 2.454 0.000 2.454
As 2.454 2.454 0.000
```

Computed properties:
* ΔE to the lowest computed polymorph: 0 meV per atom
* DFT formation energy: 0.49 eV per atom
* final energy: -5.212 eV/atom
* space group: Pm-3m, No. 221
* crystal system: cubic
* calculated volume: 23.64 Å³/atom

***

6.
The following is a PBE calculation of an optimized crystal structure of Tb5Pr3Ho2, from the Alexandria database.

extended XYZ file:
```
20
Lattice="-5.666 8.924 3.368 5.666 -8.924 3.368 5.666 8.924 -3.368" Properties=species:S:1:pos:R:3 pbc="T T T"
Tb 5.666 -3.222 1.684
Tb 1.081 3.022 0.000
Tb 0.000 0.000 1.684
Tb 6.747 5.902 0.000
Tb 5.666 3.222 1.684
Tb 0.000 5.703 1.684
Tb -1.081 3.022 3.368
Tb 0.000 0.000 5.052
Tb 4.585 5.902 3.368
Tb 0.000 12.146 1.684
Pr 8.939 3.058 0.000
Pr 5.666 0.000 1.684
Pr 3.273 5.866 0.000
Pr 2.394 3.058 3.368
Pr 0.000 8.924 1.684
Pr -3.273 5.866 3.368
Ho 2.988 0.508 0.000
Ho 2.988 -0.508 3.368
Ho 2.678 9.433 0.000
Ho 2.678 8.416 3.368
```

Computed properties:
* ΔE to the lowest computed polymorph: 65 meV per atom
* DFT formation energy: 0.25 eV per atom
* final energy: -4.411 eV/atom
* space group: Ibam, No. 72
* crystal system: orthorhombic
* calculated volume: 34.06 Å³/atom

***

7.
The following is a PBE calculation of an optimized crystal structure of KTc4Te, from the Alexandria database.

extended XYZ file:
```
6
Lattice="0.000 3.806 3.806 3.806 0.000 3.806 3.806 3.806 0.000" Properties=species:S:1:pos:R:3 pbc="T T T"
K 0.000 0.000 0.000
Tc 4.746 2.866 2.866
Tc 2.866 4.746 2.866
Tc 2.866 2.866 4.746
Tc 4.746 4.746 4.746
Te 1.903 1.903 1.903
```

Computed properties:
* formation energy from raw total energies: 913 meV per atom
* final energy: -6.705 eV/atom
* space group: F-43m, No. 216
* crystal system: cubic
* calculated volume: 18.38 Å³/atom

***

8.
The following is a PBE calculation of an optimized crystal structure of AcEuTmGa, from the Alexandria database.

extended XYZ file:
```
4
Lattice="0.000 3.944 3.944 3.944 0.000 3.944 3.944 3.944 0.000" Properties=species:S:1:pos:R:3 pbc="T T T"
Ac 0.000 0.000 0.000
Eu 5.917 5.917 5.917
Tm 1.972 1.972 1.972
Ga 3.944 3.944 3.944
```

Computed properties:
* DFT formation energy: 0.08 eV per atom
* final energy: -5.393 eV/atom
* space group: F-43m, No. 216
* crystal system: cubic
* calculated volume: 30.69 Å³/atom

***

9.
The following is a PBE calculation of an optimized crystal structure of AcMg3Sb3, from the Alexandria database.

extended XYZ file:
```
14
Lattice="4.124 2.381 7.819 -4.124 2.381 7.819 0.000 -4.762 7.819" Properties=species:S:1:pos:R:3 pbc="T T T"
Ac 0.000 0.000 3.898
Ac 0.000 0.000 19.559
Mg -1.330 -2.356 8.832
Mg -2.705 -0.026 14.626
Mg -1.375 2.330 8.832
Mg 1.375 -2.330 14.626
Mg 2.705 0.026 8.832
Mg 1.330 2.356 14.626
Sb -2.782 -0.016 9.742
Sb -1.377 -2.417 13.715
Sb 1.405 -2.401 9.742
Sb -1.405 2.401 13.715
Sb 1.377 2.417 9.742
Sb 2.782 0.016 13.715
```

Computed properties:
* formation energy from raw total energies: -631 meV per atom
* final energy: -3.668 eV/atom
* space group: R-3, No. 148
* crystal system: trigonal
* calculated volume: 32.91 Å³/atom

***

10.
The following is a PBE calculation of an optimized crystal structure of Ta5VS4, from the Alexandria database.

extended XYZ file:
```
10
Lattice="7.428 -1.546 0.000 7.428 1.546 0.000 -2.695 0.000 7.418" Properties=species:S:1:pos:R:3 pbc="T T T"
Ta 0.000 0.000 0.000
Ta 2.744 0.000 5.878
Ta 4.728 0.000 1.082
Ta 7.434 0.000 6.336
Ta 9.417 0.000 1.540
V -1.347 0.000 3.709
S 0.830 0.000 4.499
S 5.139 0.000 5.362
S 7.023 0.000 2.056
S 11.331 0.000 2.919
```

Computed properties:
* formation energy from raw total energies: -363 meV per atom
* final energy: -8.852 eV/atom
* space group: C2/m, No. 12
* crystal system: monoclinic
* calculated volume: 17.04 Å³/atom

***

11.
The following is a PBE calculation of an optimized crystal structure of LiCa2TiAu6, from the Alexandria database.

extended XYZ file:
```
10
Lattice="6.279 -2.751 0.000 6.279 2.751 0.000 -6.129 0.000 6.475" Properties=species:S:1:pos:R:3 pbc="T T T"
Li 0.000 0.000 0.000
Ca -1.599 0.000 5.079
Ca 8.028 0.000 1.396
Ti 3.214 0.000 3.237
Au 4.601 1.386 1.486
Au 0.681 0.000 2.507
Au 1.828 1.386 4.989
Au 4.601 -1.386 1.486
Au 5.748 0.000 3.968
Au 1.828 -1.386 4.989
```

Computed properties:
* DFT formation energy: -0.41 eV per atom
* final energy: -3.758 eV/atom
* space group: C2/m, No. 12
* crystal system: monoclinic
* calculated volume: 22.37 Å³/atom

***

12.
The following is a PBE calculation of an optimized crystal structure of Cs3KAg2F6, from the Alexandria database.

extended XYZ file:
```
12
Lattice="7.030 0.000 0.000 -3.515 6.088 0.000 0.000 0.000 7.495" Properties=species:S:1:pos:R:3 pbc="T T T"
Cs 0.000 0.000 0.000
Cs 0.000 4.059 4.657
Cs 3.515 2.029 2.838
K 0.000 0.000 3.748
Ag 0.000 4.059 1.173
Ag 3.515 2.029 6.323
F 0.000 2.051 2.162
F -1.739 5.063 2.162
F 1.776 1.025 5.333
F 1.739 5.063 2.162
F 5.254 1.025 5.333
F 3.515 4.037 5.333
```

Computed properties:
* formation energy from raw total energies: -2019 meV per atom
* final energy: -3.735 eV/atom
* space group: P-3m1, No. 164
* crystal system: trigonal
* calculated volume: 26.73 Å³/atom

***

| no. | total moment (μB per formula unit) |
| --- | --- |
| 1 | 0.39 |
| 2 | 0.64 |
| 3 | 1.58 |
| 4 | 0.89 |
| 5 | 0.00 |
| 6 | 0.00 |
| 7 | 0.00 |
| 8 | 8.08 |
| 9 | 0.00 |
| 10 | 0.40 |
| 11 | 0.52 |
| 12 | 0.00 |